Density functional theory data (PBE) for a relaxed structure of TaIr2Rh.

Cell lengths 5.5464, 7.7530, 2.8256 Å; angles 90.00, 90.00, 90.00 degrees
Space group Cmmm (No. 65)
One atom of each set of equivalent atoms:
Ta: 0.0000 0.0000 0.0000 x2
Ir: 0.2500 0.2500 0.5000 x4
Rh: 0.0000 0.5000 0.0000 x2

Output
DFT formation energy in kJ/mol of atoms: -40.6
D(E_F) in states/eV per cell: 5.0